[1]
The following is a DFT calculation (PBE) of Cs3SCl6 after structural relaxation.

```
data_Cs3SCl6
_space_group_name_H-M_alt 'P 1'
_space_group_IT_number 1
_cell_length_a 8.378
_cell_length_b 8.378
_cell_length_c 8.378
_cell_angle_alpha 124.17
_cell_angle_beta 124.17
_cell_angle_gamma 82.92
loop_
_space_group_symop_operation_xyz
'x,y,z'
loop_
_atom_site_label
_atom_site_type_symbol
_atom_site_fract_x
_atom_site_fract_y
_atom_site_fract_z
_atom_site_occupancy
Cs1 Cs 0.000 0.000 0.000 1
Cs2 Cs 0.250 0.750 0.500 1
Cs3 Cs 0.750 0.250 0.500 1
S1 S 0.500 0.500 0.000 1
Cl1 Cl 0.260 0.260 0.000 1
Cl2 Cl 0.292 0.292 0.584 1
Cl3 Cl 0.292 0.708 0.000 1
Cl4 Cl 0.708 0.292 0.000 1
Cl5 Cl 0.708 0.708 0.416 1
Cl6 Cl 0.740 0.740 0.000 1
```

Calculated values
* raw formation energy: -1.1525 eV per atom
* DOS(E_F): 0.00 states/eV per cell
* E above lowest polymorph: 0.000 eV/atom
* crystal system: tetragonal

=====

[2]
The following is a DFT calculation (PBE) of CaAlAu after structural relaxation.

```
data_CaAlAu
_space_group_name_H-M_alt 'P 1'
_space_group_IT_number 1
_cell_length_a 4.331
_cell_length_b 4.331
_cell_length_c 7.198
_cell_angle_alpha 90.00
_cell_angle_beta 90.00
_cell_angle_gamma 90.00
loop_
_space_group_symop_operation_xyz
'x,y,z'
loop_
_atom_site_label
_atom_site_type_symbol
_atom_site_fract_x
_atom_site_fract_y
_atom_site_fract_z
_atom_site_occupancy
Ca1 Ca 0.250 0.250 0.153 1
Ca2 Ca 0.750 0.750 0.847 1
Al1 Al 0.250 0.750 0.500 1
Al2 Al 0.750 0.250 0.500 1
Au1 Au 0.250 0.250 0.710 1
Au2 Au 0.750 0.750 0.290 1
```

Calculated values
* formation enthalpy at 0 K: -0.67 eV/atom
* DOS(E_F): 2.85 states/eV per cell
* crystal system: tetragonal

=====

[3]
The following is a DFT calculation (PBE) of Pm3Pr2Ga2 after structural relaxation.

```
data_Pm3Pr2Ga2
_space_group_name_H-M_alt 'P 1'
_space_group_IT_number 1
_cell_length_a 6.542
_cell_length_b 6.542
_cell_length_c 8.863
_cell_angle_alpha 112.07
_cell_angle_beta 112.07
_cell_angle_gamma 37.97
loop_
_space_group_symop_operation_xyz
'x,y,z'
loop_
_atom_site_label
_atom_site_type_symbol
_atom_site_fract_x
_atom_site_fract_y
_atom_site_fract_z
_atom_site_occupancy
Pm1 Pm 0.000 0.000 0.000 1
Pm2 Pm 0.122 0.122 0.440 1
Pm3 Pm 0.878 0.878 0.560 1
Pr1 Pr 0.347 0.347 0.187 1
Pr2 Pr 0.653 0.653 0.813 1
Ga1 Ga 0.330 0.330 0.785 1
Ga2 Ga 0.670 0.670 0.215 1
```

Calculated values
* formation enthalpy at 0 K: -0.30 eV/atom
* DOS(E_F): 8.01 states/eV per cell
* crystal system: monoclinic

=====

[4]
The following is a DFT calculation (PBE) of CaIr2Pt after structural relaxation.

```
data_CaIr2Pt
_space_group_name_H-M_alt 'P 1'
_space_group_IT_number 1
_cell_length_a 4.966
_cell_length_b 4.966
_cell_length_c 2.840
_cell_angle_alpha 90.00
_cell_angle_beta 90.00
_cell_angle_gamma 110.20
loop_
_space_group_symop_operation_xyz
'x,y,z'
loop_
_atom_site_label
_atom_site_type_symbol
_atom_site_fract_x
_atom_site_fract_y
_atom_site_fract_z
_atom_site_occupancy
Ca1 Ca 0.000 0.000 0.000 1
Ir1 Ir 0.000 0.500 0.500 1
Ir2 Ir 0.500 0.000 0.500 1
Pt1 Pt 0.500 0.500 0.000 1
```

Calculated values
* formation enthalpy at 0 K: -0.07 eV/atom
* DOS(E_F): 3.38 states/eV per cell
* E above lowest polymorph: 0.061 eV/atom
* crystal system: orthorhombic

=====

For reference, total moment by record: 1.00; 0.00; 0.00; 0.00 μB/cell.
For reference, total energy by record: -29.29; -22.04; -31.93; -26.03 eV for the cell shown.